Density functional theory data (PBE) for a relaxed structure of PrGeI.

abc: 8.0907 8.0907 7.9261
angles: 114.84 114.84 94.03
Atoms (fractional coordinates):
Pr: 0.0721 0.9279 0.5000
Pr: 0.3148 0.5619 0.0377
Pr: 0.5619 0.3148 0.5377
Pr: 0.9279 0.0721 0.0000
Ge: 0.1979 0.8366 0.8806
Ge: 0.2450 0.9426 0.2318
Ge: 0.8366 0.1979 0.3806
Ge: 0.9426 0.2450 0.7318
I: 0.1925 0.5022 0.3633
I: 0.5022 0.1925 0.8633
I: 0.6858 0.7121 0.9944
I: 0.7121 0.6858 0.4944

Computed properties:
Total moment in μB/f.u.: 0.00
Raw formation energy in eV per atom: -0.75
Final energy in eV/cell: -52.75